(1)
The following is a DFT calculation (PBE-GGA) of crystalline TlCd2Hg at its relaxed geometry.

## Properties
Formation energy, eV/atom: 0.032
Offset from the most stable computed form, meV/atom: 12
Density, Mg/m³: 9.875

Cell: 5.1756 3.3437 6.1632 Å, 83.16 90.00 90.00°
Fractional coordinates of all 4 atoms:
1 Tl 0.5000 0.7500 0.7500
2 Cd 0.0000 0.1903 0.0019
3 Cd 0.0000 0.3097 0.4981
4 Hg 0.5000 0.2500 0.2500



(2)
The following is a DFT calculation (PBE-GGA) of crystalline Tl5Cd3Hg12 at its relaxed geometry.

## Properties
Formation energy, eV/atom: 0.128
Density, Mg/m³: 9.138

Cell: 15.2640 15.2640 15.2640 Å, 109.47 109.47 109.47°
Fractional coordinates of all 80 atoms:
1 Hg 0.0708 0.1637 0.4268
2 Hg 0.5929 0.8560 0.4292
3 Hg 0.7369 0.1440 0.0732
4 Hg 0.9268 0.3560 0.2631
5 Hg 0.4071 0.2631 0.3363
6 Hg 0.9071 0.0708 0.6440
7 Hg 0.0708 0.9071 0.1440
8 Hg 0.2369 0.6637 0.0929
9 Hg 0.4292 0.3560 0.5929
10 Hg 0.1440 0.7369 0.5732
11 Hg 0.0732 0.6440 0.7369
12 Hg 0.9292 0.8363 0.5732
13 Hg 0.8363 0.9292 0.0732
14 Hg 0.0732 0.4292 0.8363
15 Hg 0.3363 0.7631 0.4071
16 Hg 0.3363 0.5732 0.4292
17 Hg 0.5708 0.6440 0.4071
18 Hg 0.4292 0.0732 0.3363
19 Hg 0.1637 0.0708 0.9268
20 Hg 0.5732 0.3363 0.9292
21 Hg 0.9268 0.5708 0.1637
22 Hg 0.4268 0.6637 0.0708
23 Hg 0.8560 0.2631 0.4268
24 Hg 0.2631 0.4071 0.8363
25 Hg 0.3560 0.4292 0.0929
26 Hg 0.2369 0.5732 0.6440
27 Hg 0.9071 0.8363 0.7631
28 Hg 0.6637 0.2369 0.5929
29 Hg 0.6440 0.0732 0.2369
30 Hg 0.5929 0.7369 0.6637
31 Hg 0.3560 0.9268 0.7631
32 Hg 0.7631 0.4268 0.3560
33 Hg 0.6440 0.5708 0.9071
34 Hg 0.0929 0.9292 0.3560
35 Hg 0.1440 0.4071 0.0708
36 Hg 0.7369 0.5929 0.1637
37 Hg 0.8363 0.9071 0.2631
38 Hg 0.8560 0.5929 0.9292
39 Hg 0.0929 0.1637 0.2369
40 Hg 0.1637 0.0929 0.7369
41 Hg 0.2631 0.8560 0.9268
42 Hg 0.7631 0.3363 0.9071
43 Hg 0.4268 0.7631 0.8560
44 Hg 0.4071 0.1440 0.5708
45 Hg 0.6637 0.4268 0.5708
46 Hg 0.9292 0.0929 0.8560
47 Hg 0.5708 0.9268 0.6637
48 Hg 0.5732 0.2369 0.1440
49 Tl 0.0000 0.0000 0.5000
50 Tl 0.6250 0.7500 0.8750
51 Tl 0.3750 0.2500 0.1250
52 Tl 0.0000 0.0000 0.0000
53 Tl 0.5000 0.5000 0.0000
54 Tl 0.5000 0.0000 0.5000
55 Tl 0.7500 0.6250 0.3750
56 Tl 0.8750 0.6250 0.7500
57 Tl 0.3750 0.1250 0.7500
58 Tl 0.8750 0.2500 0.6250
59 Tl 0.2500 0.3750 0.6250
60 Tl 0.0000 0.5000 0.5000
61 Tl 0.5000 0.5000 0.5000
62 Tl 0.5000 0.0000 0.0000
63 Tl 0.6250 0.8750 0.2500
64 Tl 0.0000 0.5000 0.0000
65 Tl 0.2500 0.8750 0.1250
66 Tl 0.1250 0.3750 0.2500
67 Tl 0.1250 0.7500 0.3750
68 Tl 0.7500 0.1250 0.8750
69 Cd 0.1250 0.2500 0.8750
70 Cd 0.1250 0.8750 0.7500
71 Cd 0.7500 0.3750 0.1250
72 Cd 0.8750 0.1250 0.2500
73 Cd 0.2500 0.1250 0.3750
74 Cd 0.3750 0.6250 0.2500
75 Cd 0.7500 0.8750 0.6250
76 Cd 0.3750 0.7500 0.6250
77 Cd 0.8750 0.7500 0.1250
78 Cd 0.6250 0.3750 0.7500
79 Cd 0.6250 0.2500 0.3750
80 Cd 0.2500 0.6250 0.8750



(3)
The following is a DFT calculation (PBE-GGA) of crystalline Tl2CdHg at its relaxed geometry.

## Properties
Formation energy, eV/atom: 0.014
Offset from the most stable computed form, meV/atom: 2
Density, Mg/m³: 10.767

Cell: 3.4550 3.4550 9.3613 Å, 90.00 90.00 95.06°
Fractional coordinates of all 4 atoms:
1 Tl 0.0000 0.0000 0.9793
2 Tl 0.5000 0.5000 0.2732
3 Hg 0.5000 0.5000 0.7294
4 Cd 0.0000 0.0000 0.5180



What did the second record say?
The following is a DFT calculation (PBE-GGA) of crystalline Tl5Cd3Hg12 at its relaxed geometry.

## Properties
Formation energy, eV/atom: 0.128
Density, Mg/m³: 9.138

Cell: 15.2640 15.2640 15.2640 Å, 109.47 109.47 109.47°
Fractional coordinates of all 80 atoms:
1 Hg 0.0708 0.1637 0.4268
2 Hg 0.5929 0.8560 0.4292
3 Hg 0.7369 0.1440 0.0732
4 Hg 0.9268 0.3560 0.2631
5 Hg 0.4071 0.2631 0.3363
6 Hg 0.9071 0.0708 0.6440
7 Hg 0.0708 0.9071 0.1440
8 Hg 0.2369 0.6637 0.0929
9 Hg 0.4292 0.3560 0.5929
10 Hg 0.1440 0.7369 0.5732
11 Hg 0.0732 0.6440 0.7369
12 Hg 0.9292 0.8363 0.5732
13 Hg 0.8363 0.9292 0.0732
14 Hg 0.0732 0.4292 0.8363
15 Hg 0.3363 0.7631 0.4071
16 Hg 0.3363 0.5732 0.4292
17 Hg 0.5708 0.6440 0.4071
18 Hg 0.4292 0.0732 0.3363
19 Hg 0.1637 0.0708 0.9268
20 Hg 0.5732 0.3363 0.9292
21 Hg 0.9268 0.5708 0.1637
22 Hg 0.4268 0.6637 0.0708
23 Hg 0.8560 0.2631 0.4268
24 Hg 0.2631 0.4071 0.8363
25 Hg 0.3560 0.4292 0.0929
26 Hg 0.2369 0.5732 0.6440
27 Hg 0.9071 0.8363 0.7631
28 Hg 0.6637 0.2369 0.5929
29 Hg 0.6440 0.0732 0.2369
30 Hg 0.5929 0.7369 0.6637
31 Hg 0.3560 0.9268 0.7631
32 Hg 0.7631 0.4268 0.3560
33 Hg 0.6440 0.5708 0.9071
34 Hg 0.0929 0.9292 0.3560
35 Hg 0.1440 0.4071 0.0708
36 Hg 0.7369 0.5929 0.1637
37 Hg 0.8363 0.9071 0.2631
38 Hg 0.8560 0.5929 0.9292
39 Hg 0.0929 0.1637 0.2369
40 Hg 0.1637 0.0929 0.7369
41 Hg 0.2631 0.8560 0.9268
42 Hg 0.7631 0.3363 0.9071
43 Hg 0.4268 0.7631 0.8560
44 Hg 0.4071 0.1440 0.5708
45 Hg 0.6637 0.4268 0.5708
46 Hg 0.9292 0.0929 0.8560
47 Hg 0.5708 0.9268 0.6637
48 Hg 0.5732 0.2369 0.1440
49 Tl 0.0000 0.0000 0.5000
50 Tl 0.6250 0.7500 0.8750
51 Tl 0.3750 0.2500 0.1250
52 Tl 0.0000 0.0000 0.0000
53 Tl 0.5000 0.5000 0.0000
54 Tl 0.5000 0.0000 0.5000
55 Tl 0.7500 0.6250 0.3750
56 Tl 0.8750 0.6250 0.7500
57 Tl 0.3750 0.1250 0.7500
58 Tl 0.8750 0.2500 0.6250
59 Tl 0.2500 0.3750 0.6250
60 Tl 0.0000 0.5000 0.5000
61 Tl 0.5000 0.5000 0.5000
62 Tl 0.5000 0.0000 0.0000
63 Tl 0.6250 0.8750 0.2500
64 Tl 0.0000 0.5000 0.0000
65 Tl 0.2500 0.8750 0.1250
66 Tl 0.1250 0.3750 0.2500
67 Tl 0.1250 0.7500 0.3750
68 Tl 0.7500 0.1250 0.8750
69 Cd 0.1250 0.2500 0.8750
70 Cd 0.1250 0.8750 0.7500
71 Cd 0.7500 0.3750 0.1250
72 Cd 0.8750 0.1250 0.2500
73 Cd 0.2500 0.1250 0.3750
74 Cd 0.3750 0.6250 0.2500
75 Cd 0.7500 0.8750 0.6250
76 Cd 0.3750 0.7500 0.6250
77 Cd 0.8750 0.7500 0.1250
78 Cd 0.6250 0.3750 0.7500
79 Cd 0.6250 0.2500 0.3750
80 Cd 0.2500 0.6250 0.8750



> What is the formation energy in the third record?

0.014 eV/atom